Entry 1:
DFT (PBE) results for LiMgPaRu after structural relaxation.

Output
N(E_F) = 4.3 states/eV/f.u.
Calculated total energy = -89.59 eV for the cell shown
Magnetization = 0.00 μB per atom

a = 6.660 Å, b = 6.660 Å, c = 6.660 Å
α = 90.00°, β = 90.00°, γ = 90.00°
Space group F-43m (No. 216)
Asymmetric unit:
Li 0.000 0.000 0.000 [4 per cell]
Mg 0.250 0.250 0.250 [4 per cell]
Pa 0.250 0.250 0.750 [4 per cell]
Ru 0.000 0.000 0.500 [4 per cell]

=====

Entry 2:
DFT (PBE) results for Li3Mg2PaS6 after structural relaxation.

Output
N(E_F) = 0.0 states/eV/f.u.
Calculated total energy = -121.95 eV for the cell shown
Magnetization = 0.00 μB per atom
E_form (uncorrected) = -1.4821 eV/atom

a = 6.494 Å, b = 11.245 Å, c = 6.525 Å
α = 90.00°, β = 109.36°, γ = 90.00°
Space group C2/m (No. 12)
Asymmetric unit:
Li 0.000 0.000 0.000 [2 per cell]
Li 0.000 0.333 0.000 [4 per cell]
Mg 0.000 0.166 0.500 [4 per cell]
Pa 0.000 0.500 0.500 [2 per cell]
S 0.246 0.000 0.744 [4 per cell]
S 0.249 0.332 0.745 [8 per cell]

=====

Entry 3:
DFT (PBE) results for Li2MgPaS4 after structural relaxation.

Output
N(E_F) = 3.5 states/eV/f.u.
Calculated total energy = -43.12 eV for the cell shown
Magnetization = 0.13 μB per atom
E_form (uncorrected) = -1.4611 eV/atom

a = 6.568 Å, b = 3.813 Å, c = 6.568 Å
α = 90.00°, β = 109.22°, γ = 90.00°
Space group P2/m (No. 10)
Asymmetric unit:
Li 0.000 0.000 0.000 [1 per cell]
Li 0.500 0.500 0.000 [1 per cell]
Mg 0.000 0.500 0.500 [1 per cell]
Pa 0.500 0.000 0.500 [1 per cell]
S 0.241 0.000 0.740 [2 per cell]
S 0.242 0.500 0.243 [2 per cell]

=====

Entry 4:
DFT (PBE) results for LiMgPa2S6 after structural relaxation.

Output
N(E_F) = 8.3 states/eV/f.u.
Calculated total energy = -58.85 eV for the cell shown
Magnetization = 0.11 μB per atom
E_form (uncorrected) = -1.1585 eV/atom

a = 6.041 Å, b = 6.041 Å, c = 6.400 Å
α = 90.00°, β = 90.00°, γ = 90.00°
Space group P4mm (No. 99)
Asymmetric unit:
Li 0.000 0.000 0.000 [1 per cell]
Mg 0.500 0.500 0.012 [1 per cell]
Pa 0.000 0.500 0.449 [2 per cell]
S 0.000 0.000 0.623 [1 per cell]
S 0.248 0.248 0.198 [4 per cell]
S 0.500 0.500 0.632 [1 per cell]

=====

Entry 5:
DFT (PBE) results for Li4MgPa3Se8 after structural relaxation.

Output
N(E_F) = 15.9 states/eV/f.u.
Calculated total energy = -258.05 eV for the cell shown
Magnetization = 0.31 μB per atom
E_form (uncorrected) = -1.2752 eV/atom

a = 7.9768 Å, b = 7.9768 Å, c = 19.8790 Å
α = 90.00°, β = 90.00°, γ = 120.00°
Space group R-3m (No. 166, hexagonal axes)
Asymmetric unit:
Li 0.0000 0.0000 0.0000 [3 per cell]
Li 0.0000 0.5000 0.0000 [9 per cell]
Mg 0.0000 0.0000 0.5000 [3 per cell]
Pa 0.0000 0.5000 0.5000 [9 per cell]
Se 0.0000 0.0000 0.2557 [6 per cell]
Se 0.0101 0.5051 0.2516 [18 per cell]

=====

Entry 6:
DFT (PBE) results for Li4MgPa3Te8 after structural relaxation.

Output
N(E_F) = 17.4 states/eV/f.u.
Calculated total energy = -229.79 eV for the cell shown
Magnetization = 0.31 μB per atom
E_form (uncorrected) = -0.8579 eV/atom

a = 8.5163 Å, b = 8.5163 Å, c = 21.5733 Å
α = 90.00°, β = 90.00°, γ = 120.00°
Space group R-3m (No. 166, hexagonal axes)
Asymmetric unit:
Li 0.0000 0.0000 0.0000 [3 per cell]
Li 0.0000 0.5000 0.0000 [9 per cell]
Mg 0.0000 0.0000 0.5000 [3 per cell]
Pa 0.0000 0.5000 0.5000 [9 per cell]
Te 0.0000 0.0000 0.2552 [6 per cell]
Te 0.0092 0.5046 0.2522 [18 per cell]

=====

Entry 7:
DFT (PBE) results for Li2MgPaTe4 after structural relaxation.

Output
N(E_F) = 5.0 states/eV/f.u.
Calculated total energy = -34.55 eV for the cell shown
Magnetization = 0.13 μB per atom
E_form (uncorrected) = -0.8835 eV/atom

a = 7.401 Å, b = 4.270 Å, c = 7.468 Å
α = 90.00°, β = 109.14°, γ = 90.00°
Space group P2/m (No. 10)
Asymmetric unit:
Li 0.000 0.000 0.000 [1 per cell]
Li 0.500 0.500 0.000 [1 per cell]
Mg 0.000 0.500 0.500 [1 per cell]
Pa 0.500 0.000 0.500 [1 per cell]
Te 0.241 0.000 0.745 [2 per cell]
Te 0.244 0.500 0.239 [2 per cell]

=====

Entry 8:
DFT (PBE) results for Li2MgPb after structural relaxation.

Output
N(E_F) = 1.5 states/eV/f.u.
Calculated total energy = -20.32 eV for the cell shown
Magnetization = 0.00 μB per atom

a = 4.940 Å, b = 6.307 Å, c = 5.190 Å
α = 90.00°, β = 90.00°, γ = 90.00°
Space group Pmmn (No. 59, origin choice 2)
Asymmetric unit:
Li 0.250 0.000 0.184 [4 per cell]
Mg 0.250 0.250 0.673 [2 per cell]
Pb 0.250 0.750 0.705 [2 per cell]

=====

Which value of N(E_F) does entry 5 give? 15.9 states/eV/f.u.

=====

N(E_F) of number 5 (Li4MgPa3Se8)? 15.9 states/eV/f.u.

=====

Look up the N(E_F) of the second one. 0.0 states/eV/f.u.

=====

Among the records above, which one has the lowest calculated total energy? Li4MgPa3Se8